Here is a PBEsol-optimized structure of Li2WCl from the Alexandria database. Energies are from SCAN.

Cell: 2.732 4.486 5.196 Å, 90.00 90.18 90.00°
Space group Pm (No. 6)
Unique sites:
Li 0.000 0.000 0.000
Li 0.005 0.500 0.727
W 0.503 0.500 0.222
Cl 0.504 0.000 0.386

Values from the calculation:
formation energy without anion corrections: 0.2967 eV/atom
total DFT energy (no corrections): -20.31 eV per atom
distance to the lowest polymorph of the same formula: 126 meV per atom
total magnetic moment: 0.00 μB per formula unit